# PBE-GGA ZnNiPtW, relaxed
# M_tot: 0.00 μB per formula unit
# Energy relative to the elements: 0.021 eV per atom
# Space group: F-43m (216)
data_ZnNiPtW
_chemical_formula_sum 'Zn4 Ni4 Pt4 W4'
_cell_length_a 6.092
_cell_length_b 6.092
_cell_length_c 6.092
_cell_angle_alpha 90.00
_cell_angle_beta 90.00
_cell_angle_gamma 90.00
_space_group_name_H-M_alt 'P 1'
_space_group_IT_number 1
loop_
_space_group_symop_operation_xyz
'x,y,z'
loop_
_atom_site_label
_atom_site_fract_x
_atom_site_fract_y
_atom_site_fract_z
Zn1 0.000 0.000 0.000
Zn2 0.000 0.500 0.500
Zn3 0.500 0.000 0.500
Zn4 0.500 0.500 0.000
Ni1 0.250 0.250 0.250
Ni2 0.250 0.750 0.750
Ni3 0.750 0.250 0.750
Ni4 0.750 0.750 0.250
Pt1 0.000 0.000 0.500
Pt2 0.000 0.500 0.000
Pt3 0.500 0.000 0.000
Pt4 0.500 0.500 0.500
W1 0.250 0.250 0.750
W2 0.250 0.750 0.250
W3 0.750 0.250 0.250
W4 0.750 0.750 0.750